A relaxed AsBr2 crystal. Source: the Alexandria database, functional GGA-PBE.

* energy relative to the elements, uncorrected: -0.093 eV/atom
* volume: 110 Å³/f.u.
* space group: Pnnm, No. 58

POSCAR file:
```
AsBr2
1.0
-1.894 -3.260 0.472
3.547 -2.833 -5.336
5.791 -2.607 5.234
As Br
2 4
Direct
0.000 0.000 0.000
0.500 0.500 0.500
0.000 0.275 0.614
0.000 0.725 0.386
0.500 0.775 0.886
0.500 0.225 0.114
```